DFT (PBE-GGA) results for a geometry-optimized TbPr2In9 structure.

a = 4.709 Å, b = 4.709 Å, c = 14.117 Å
α = 90.00°, β = 90.00°, γ = 90.00°
Fractional positions:
1 In 0.500 0.500 0.000
2 In 0.000 0.500 0.163
3 In 0.500 0.000 0.163
4 In 0.000 0.500 0.500
5 In 0.500 0.000 0.837
6 In 0.000 0.500 0.837
7 In 0.500 0.500 0.333
8 In 0.500 0.500 0.667
9 In 0.500 0.000 0.500
10 Pr 0.000 0.000 0.669
11 Pr 0.000 0.000 0.331
12 Tb 0.000 0.000 0.000

Properties
- energy relative to the elements (eV/atom) = -0.46
- theoretical density (Mg/m³) = 7.8
- spin magnetization (μB/f.u.) = 0.00